! Li2CeUS4, optimized geometry, DFT PBE-GGA; values from VASP
! Space-group type: P2/m
! Formation energy without anion corrections: -1541 meV/atom
&SYSTEM
  ibrav = 0, nat = 8, ntyp = 4
/
ATOMIC_SPECIES
Li 6.94 Li.upf
Ce 140.12 Ce.upf
U 238.03 U.upf
S 32.06 S.upf
CELL_PARAMETERS angstrom
6.635 0.000 0.000
0.000 3.945 0.000
-2.359 0.000 6.436
ATOMIC_POSITIONS crystal
Li 0.000 0.000 0.000
Li 0.000 0.500 0.500
Ce 0.500 0.000 0.500
U 0.500 0.500 0.000
S 0.242 0.500 0.240
S 0.244 0.000 0.755
S 0.756 0.000 0.245
S 0.758 0.500 0.760

=====

! Sr2TlIn3Au4, optimized geometry, DFT PBE-GGA; values from VASP
! Calculated formation energy: -0.48 eV per atom
! Space-group type: P-4m2
&SYSTEM
  ibrav = 0, nat = 10, ntyp = 4
/
ATOMIC_SPECIES
Sr 87.62 Sr.upf
Tl 204.38 Tl.upf
In 114.82 In.upf
Au 196.97 Au.upf
CELL_PARAMETERS angstrom
4.761 0.000 0.000
0.000 4.761 0.000
0.000 0.000 11.574
ATOMIC_POSITIONS crystal
Sr 0.000 0.500 0.241
Sr 0.500 0.000 0.759
Tl 0.000 0.000 0.500
In 0.000 0.500 0.877
In 0.500 0.000 0.123
In 0.500 0.500 0.500
Au 0.000 0.000 0.000
Au 0.000 0.500 0.644
Au 0.500 0.000 0.356
Au 0.500 0.500 0.000

=====

! Os2PtSe, optimized geometry, DFT PBE-GGA; values from VASP
! Space-group type: Cm
! Formation energy without anion corrections: 532 meV/atom
&SYSTEM
  ibrav = 0, nat = 4, ntyp = 3
/
ATOMIC_SPECIES
Os 190.23 Os.upf
Pt 195.08 Pt.upf
Se 78.96 Se.upf
CELL_PARAMETERS angstrom
4.687 -1.420 0.000
4.687 1.420 0.000
-1.148 0.000 4.753
ATOMIC_POSITIONS crystal
Os 0.000 0.000 0.000
Os 0.744 0.744 0.185
Pt 0.241 0.241 0.713
Se 0.472 0.472 0.407

=====

! MgTi2SiS, optimized geometry, DFT PBE-GGA; values from VASP
! Space-group type: P4/mmm
! Formation energy without anion corrections: -153 meV/atom
&SYSTEM
  ibrav = 0, nat = 5, ntyp = 4
/
ATOMIC_SPECIES
Mg 24.30 Mg.upf
Ti 47.87 Ti.upf
Si 28.09 Si.upf
S 32.06 S.upf
CELL_PARAMETERS angstrom
4.502 0.000 0.000
0.000 4.502 0.000
0.000 0.000 4.518
ATOMIC_POSITIONS crystal
Mg 0.000 0.000 0.000
Ti 0.000 0.500 0.500
Ti 0.500 0.000 0.500
Si 0.500 0.500 0.000
S 0.000 0.000 0.500

=====

! Y2HgSe, optimized geometry, DFT PBE-GGA; values from VASP
! Space-group type: Amm2
! Formation energy without anion corrections: -953 meV/atom
! Distance to the lowest polymorph of the same formula: 169 meV per atom
&SYSTEM
  ibrav = 0, nat = 4, ntyp = 3
/
ATOMIC_SPECIES
Y 88.91 Y.upf
Hg 200.59 Hg.upf
Se 78.96 Se.upf
CELL_PARAMETERS angstrom
4.611 0.000 0.000
0.000 1.930 5.758
0.000 -1.930 5.758
ATOMIC_POSITIONS crystal
Y 0.000 0.000 0.000
Y 0.500 0.260 0.260
Hg 0.500 0.519 0.519
Se 0.000 0.742 0.742

=====

! PmDyCdGa, optimized geometry, DFT PBE-GGA; values from VASP
! Calculated formation energy: -0.45 eV per atom
! Space-group type: P4mm
! Distance to the lowest polymorph of the same formula: 0 meV per atom
&SYSTEM
  ibrav = 0, nat = 4, ntyp = 4
/
ATOMIC_SPECIES
Pm 145.00 Pm.upf
Dy 162.50 Dy.upf
Cd 112.41 Cd.upf
Ga 69.72 Ga.upf
CELL_PARAMETERS angstrom
3.653 0.000 0.000
0.000 3.653 0.000
0.000 0.000 7.613
ATOMIC_POSITIONS crystal
Pm 0.000 0.000 0.000
Dy 0.000 0.000 0.533
Cd 0.500 0.500 0.279
Ga 0.500 0.500 0.756

=====

! SrMg2AgO, optimized geometry, DFT PBE-GGA; values from VASP
! Space-group type: P4/mmm
! Formation energy without anion corrections: 1140 meV/atom
&SYSTEM
  ibrav = 0, nat = 5, ntyp = 4
/
ATOMIC_SPECIES
Sr 87.62 Sr.upf
Mg 24.30 Mg.upf
Ag 107.87 Ag.upf
O 16.00 O.upf
CELL_PARAMETERS angstrom
6.946 0.000 0.000
0.000 6.946 0.000
0.000 0.000 5.908
ATOMIC_POSITIONS crystal
Sr 0.000 0.000 0.000
Mg 0.000 0.500 0.000
Mg 0.500 0.000 0.000
Ag 0.000 0.000 0.500
O 0.500 0.500 0.500

=====

! AlP2Cl, optimized geometry, DFT PBE-GGA; values from VASP
! Space-group type: I-42d
! Formation energy without anion corrections: 80 meV/atom
! Distance to the lowest polymorph of the same formula: 381 meV per atom
&SYSTEM
  ibrav = 0, nat = 8, ntyp = 3
/
ATOMIC_SPECIES
Al 26.98 Al.upf
P 30.97 P.upf
Cl 35.45 Cl.upf
CELL_PARAMETERS angstrom
-1.887 1.887 10.515
1.887 -1.887 10.515
1.887 1.887 -10.515
ATOMIC_POSITIONS crystal
Al 0.000 0.000 0.000
Al 0.750 0.250 0.500
P 0.042 0.125 0.417
P 0.375 0.958 0.083
P 0.708 0.625 0.583
P 0.875 0.292 0.917
Cl 0.250 0.750 0.500
Cl 0.500 0.500 0.000

=====

! KTe2Cl, optimized geometry, DFT PBE-GGA; values from VASP
! Space-group type: I-42d
! Formation energy without anion corrections: -825 meV/atom
! Distance to the lowest polymorph of the same formula: 24 meV per atom
&SYSTEM
  ibrav = 0, nat = 8, ntyp = 3
/
ATOMIC_SPECIES
K 39.10 K.upf
Te 127.60 Te.upf
Cl 35.45 Cl.upf
CELL_PARAMETERS angstrom
-2.143 2.143 17.400
2.143 -2.143 17.400
2.143 2.143 -17.400
ATOMIC_POSITIONS crystal
K 0.000 0.000 0.000
K 0.750 0.250 0.500
Te 0.125 0.625 0.000
Te 0.375 0.375 0.500
Te 0.625 0.125 0.000
Te 0.875 0.875 0.500
Cl 0.250 0.750 0.500
Cl 0.500 0.500 0.000

=====

! Mg3BiTe, optimized geometry, DFT PBE-GGA; values from VASP
! Space-group type: Pm-3m
! Formation energy without anion corrections: 98 meV/atom
! Distance to the lowest polymorph of the same formula: 0 meV per atom
&SYSTEM
  ibrav = 0, nat = 5, ntyp = 3
/
ATOMIC_SPECIES
Mg 24.30 Mg.upf
Bi 208.98 Bi.upf
Te 127.60 Te.upf
CELL_PARAMETERS angstrom
5.532 0.000 0.000
0.000 5.532 0.000
0.000 0.000 5.532
ATOMIC_POSITIONS crystal
Mg 0.000 0.000 0.500
Mg 0.000 0.500 0.000
Mg 0.500 0.000 0.000
Bi 0.000 0.000 0.000
Te 0.500 0.500 0.500

=====

! Al2CoAgIr, optimized geometry, DFT PBE-GGA; values from VASP
! Calculated formation energy: 1.41 eV per atom
! Space-group type: P4/mmm
&SYSTEM
  ibrav = 0, nat = 5, ntyp = 4
/
ATOMIC_SPECIES
Al 26.98 Al.upf
Co 58.93 Co.upf
Ag 107.87 Ag.upf
Ir 192.22 Ir.upf
CELL_PARAMETERS angstrom
4.581 0.000 0.000
0.000 4.581 0.000
0.000 0.000 4.983
ATOMIC_POSITIONS crystal
Al 0.000 0.500 0.000
Al 0.500 0.000 0.000
Co 0.000 0.000 0.500
Ag 0.500 0.500 0.000
Ir 0.500 0.500 0.500

=====

! CrPbAu2, optimized geometry, DFT PBE-GGA; values from VASP
! Calculated formation energy: 0.19 eV per atom
! Space-group type: Pm
&SYSTEM
  ibrav = 0, nat = 4, ntyp = 3
/
ATOMIC_SPECIES
Cr 52.00 Cr.upf
Pb 207.20 Pb.upf
Au 196.97 Au.upf
CELL_PARAMETERS angstrom
3.361 0.000 0.000
0.000 4.441 0.000
-1.601 0.000 5.716
ATOMIC_POSITIONS crystal
Cr 0.000 0.000 0.000
Pb 0.698 0.500 0.378
Au 0.292 0.000 0.574
Au 0.445 0.500 0.885

=====

Number 1: energy -49.89 eV/cell, calculated density 5.13 g/cm3, V 168.5 Å³ per cell. Number 2: energy -31.83 eV/cell, calculated density 9.57 g/cm3, V 262.4 Å³ per cell. Number 3: energy -29.86 eV/cell, calculated density 17.17 g/cm3, V 63.3 Å³ per cell. Number 4: energy -27.70 eV/cell, calculated density 3.27 g/cm3, V 91.6 Å³ per cell. Number 5: energy -20.53 eV/cell, calculated density 7.41 g/cm3, V 102.5 Å³ per cell. Number 6: energy -15.11 eV/cell, calculated density 8.00 g/cm3, V 101.6 Å³ per cell. Number 7: energy -6.98 eV/cell, calculated density 1.52 g/cm3, V 285.0 Å³ per cell. Number 8: energy -32.18 eV/cell, calculated density 2.76 g/cm3, V 149.7 Å³ per cell. Number 9: energy -25.05 eV/cell, calculated density 3.43 g/cm3, V 319.5 Å³ per cell. Number 10: energy -11.31 eV/cell, calculated density 4.02 g/cm3, V 169.3 Å³ per cell. Number 11: energy -19.27 eV/cell, calculated density 6.56 g/cm3, V 104.6 Å³ per cell. Number 12: energy -19.11 eV/cell, calculated density 12.71 g/cm3, V 85.3 Å³ per cell.